No. 1
Compound: ErUPbO6
Source: the Alexandria database
Functional: PBE
Structure: relaxed

Summary:
* raw formation energy: -2.59 eV/atom
* SG: P312, No. 149
* total magnetic moment: 0.0 μB per formula unit

```
9
Lattice="-3.545 -1.143 -3.111 -2.441 -3.410 4.034 -1.496 5.613 -0.358" Properties=species:S:1:pos:R:3 pbc="T T T"
Er -3.899 -0.974 1.015
U -1.772 -0.571 -1.556
Pb -1.811 2.605 1.106
O -5.302 0.641 0.330
O -3.348 -1.818 -0.993
O -5.420 -2.511 1.623
O -2.192 0.297 0.294
O -2.711 -2.630 1.961
O -4.417 0.176 2.873
```



No. 2
Compound: Ga4Fe
Source: the Alexandria database
Functional: PBE
Structure: relaxed

Summary:
* SG: Pm-3m, No. 221
* total magnetic moment: 0.2 μB per formula unit
* E_form: 0.191 eV per formula unit

```
5
Lattice="-0.625 -4.549 0.264 4.157 -0.678 -1.848 1.867 -0.013 4.204" Properties=species:S:1:pos:R:3 pbc="T T T"
Fe 2.699 -2.620 1.310
Ga 0.000 0.000 0.000
Ga 0.621 -2.281 2.234
Ga 3.012 -0.346 1.178
Ga 1.766 -2.614 -0.792
```



No. 3
Compound: NaCeHo4Se8
Source: the Alexandria database
Functional: PBE
Structure: relaxed

Summary:
* raw formation energy: -1.74 eV/atom
* SG: R3m, No. 160
* total magnetic moment: 1.0 μB per formula unit

```
14
Lattice="8.426 0.000 0.000 4.213 7.297 0.000 4.213 2.432 7.032" Properties=species:S:1:pos:R:3 pbc="T T T"
Na 8.426 4.865 6.196
Ce 4.213 2.432 6.954
Ho 8.426 4.865 0.846
Ho 4.213 4.769 3.546
Ho 6.236 1.264 3.546
Ho 2.189 1.264 3.546
Se 8.426 7.462 5.133
Se 10.675 3.566 5.133
Se 6.176 3.566 5.133
Se 4.213 2.432 1.981
Se 8.426 2.326 1.877
Se 6.227 6.134 1.877
Se 10.624 6.134 1.877
Se 12.639 7.297 5.094
```